Model 1:
Li6TlCd2 | PBE | optimized geometry

abc: 3.0979 14.1190 8.1333
angles: 90.00 90.00 90.00
Space group Amm2 (No. 38)
Symmetry-distinct sites (fractional):
Li1 0.0000 0.0000 0.0000 (multiplicity 2)
Li2 0.0000 0.1513 0.5468 (multiplicity 4)
Li3 0.5000 0.0000 0.3342 (multiplicity 2)
Li4 0.5000 0.1812 0.8792 (multiplicity 4)
Tl1 0.5000 0.0000 0.6972 (multiplicity 2)
Cd1 0.0000 0.1667 0.1978 (multiplicity 4)

The value obtained for the volume is 19.76 Å³ per atom. The total moment comes out at 0.000 μB/atom. The density of states at the Fermi level is 10.43 states/eV/cell.

Model 2:
Li6TlCd2 | PBE | optimized geometry

abc: 8.0740 8.0740 8.8091
angles: 90.00 90.00 120.00
Space group R-3m (No. 166, hexagonal axes)
Symmetry-distinct sites (fractional):
Li1 0.9996 0.3329 0.1667 (multiplicity 18)
Tl1 0.0000 0.0000 0.0000 (multiplicity 3)
Cd1 0.0000 0.0000 0.3369 (multiplicity 6)

The value obtained for the volume is 18.42 Å³ per atom. The total moment comes out at 0.000 μB/atom. The density of states at the Fermi level is 13.33 states/eV/cell.

Of them, model 2 has the highest stability.

Model 1:
ZrScTc | PBE | optimized geometry

abc: 3.3321 3.3321 10.8979
angles: 90.00 90.00 90.00
Space group I4mm (No. 107)
Symmetry-distinct sites (fractional):
Zr1 0.0000 0.0000 0.0000 (multiplicity 2)
Sc1 0.0000 0.0000 0.7200 (multiplicity 2)
Tc1 0.0000 0.0000 0.3673 (multiplicity 2)

The value obtained for the volume is 20.17 Å³ per atom. The total moment comes out at 0.002 μB/atom. The density of states at the Fermi level is 4.96 states/eV/cell.

Model 2:
ZrScTc | PBE | optimized geometry

abc: 3.2151 4.6097 7.8036
angles: 90.00 90.00 90.00
Space group Imm2 (No. 44)
Symmetry-distinct sites (fractional):
Zr1 0.0000 0.0000 0.0000 (multiplicity 2)
Sc1 0.0000 0.0000 0.6569 (multiplicity 2)
Tc1 0.0000 0.0000 0.3262 (multiplicity 2)

The value obtained for the volume is 19.28 Å³ per atom. The total moment comes out at 0.000 μB/atom. The density of states at the Fermi level is 4.04 states/eV/cell.

Of them, model 1 has the highest stability.

Model 1:
BC5 | PBE | optimized geometry

abc: 13.3791 2.5112 4.5334
angles: 90.00 108.26 90.00
Space group Cm (No. 8)
Symmetry-distinct sites (fractional):
B1 0.0000 0.0000 0.0000 (multiplicity 2)
B2 0.1661 0.0000 0.8400 (multiplicity 2)
C1 0.1158 0.5000 0.5966 (multiplicity 2)
C2 0.1253 0.0000 0.1341 (multiplicity 2)
C3 0.1640 0.5000 0.3303 (multiplicity 2)
C4 0.2879 0.5000 0.4514 (multiplicity 2)
C5 0.2929 0.0000 0.9558 (multiplicity 2)
C6 0.3304 0.0000 0.6562 (multiplicity 2)
C7 0.3311 0.5000 0.1598 (multiplicity 2)
C8 0.4505 0.0000 0.7568 (multiplicity 2)
C9 0.4528 0.5000 0.2842 (multiplicity 2)
C10 0.4946 0.0000 0.4835 (multiplicity 2)

The value obtained for the volume is 6.03 Å³ per atom. The total moment comes out at 0.000 μB/atom. The density of states at the Fermi level is 3.08 states/eV/cell.

Model 2:
BC5 | PBE | optimized geometry

abc: 11.3822 2.5130 5.1883
angles: 90.00 103.44 90.00
Space group C2/m (No. 12)
Symmetry-distinct sites (fractional):
B1 0.1953 0.0000 0.4758 (multiplicity 4)
C1 0.0394 0.5000 0.6513 (multiplicity 4)
C2 0.0443 0.5000 0.1422 (multiplicity 4)
C3 0.1194 0.0000 0.6962 (multiplicity 4)
C4 0.1221 0.0000 0.1737 (multiplicity 4)
C5 0.2087 0.0000 0.9793 (multiplicity 4)

The value obtained for the volume is 6.01 Å³ per atom. The total moment comes out at 0.000 μB/atom. The density of states at the Fermi level is 3.22 states/eV/cell.

Of them, model 1 has the highest stability.

Model 1:
ScAlCl2 | PBE | optimized geometry

abc: 3.2861 5.3180 12.6930
angles: 90.00 90.00 90.00
Space group Immm (No. 71)
Symmetry-distinct sites (fractional):
Sc1 0.0000 0.0000 0.0000 (multiplicity 2)
Al1 0.0000 0.0000 0.5000 (multiplicity 2)
Cl1 0.0000 0.5000 0.3463 (multiplicity 4)

The value obtained for the volume is 27.73 Å³ per atom. The total moment comes out at 0.000 μB/atom. The density of states at the Fermi level is 3.88 states/eV/cell.

Model 2:
ScAlCl2 | PBE | optimized geometry

abc: 3.8428 3.8428 11.2558
angles: 90.00 90.00 90.00
Space group I-4m2 (No. 119)
Symmetry-distinct sites (fractional):
Sc1 0.0000 0.0000 0.0000 (multiplicity 2)
Al1 0.0000 0.5000 0.7500 (multiplicity 2)
Cl1 0.0000 0.0000 0.5000 (multiplicity 2)
Cl2 0.0000 0.5000 0.2500 (multiplicity 2)

The value obtained for the volume is 20.78 Å³ per atom. The total moment comes out at 0.000 μB/atom. The density of states at the Fermi level is 2.44 states/eV/cell.

Of them, model 1 has the highest stability.

Model 1:
MoSe2Br | PBE | optimized geometry

abc: 6.4950 3.3138 6.7609
angles: 90.00 114.17 90.00
Space group Pm (No. 6)
Symmetry-distinct sites (fractional):
Mo1 0.0000 0.0000 0.0000 (multiplicity 1)
Se1 0.2404 0.5000 0.9247 (multiplicity 1)
Se2 0.6760 0.0000 0.6992 (multiplicity 1)
Br1 0.9451 0.5000 0.2742 (multiplicity 1)

The value obtained for the volume is 33.19 Å³ per atom. The total moment comes out at 0.000 μB/atom. The density of states at the Fermi level is 2.35 states/eV/cell.

Model 2:
MoSe2Br | PBE | optimized geometry

abc: 3.4626 3.4626 7.8065
angles: 90.00 90.00 90.00
Space group P4mm (No. 99)
Symmetry-distinct sites (fractional):
Mo1 0.0000 0.0000 0.0000 (multiplicity 1)
Se1 0.0000 0.0000 0.3222 (multiplicity 1)
Se2 0.5000 0.5000 0.1406 (multiplicity 1)
Br1 0.5000 0.5000 0.7566 (multiplicity 1)

The value obtained for the volume is 23.40 Å³ per atom. The total moment comes out at 0.105 μB/atom. The density of states at the Fermi level is 3.18 states/eV/cell.

Of them, model 1 has the highest stability.

Model 1:
B5C7 | PBE | optimized geometry

abc: 14.0862 2.5383 4.6641
angles: 90.00 107.66 90.00
Space group Cm (No. 8)
Symmetry-distinct sites (fractional):
B1 0.0000 0.0000 0.0000 (multiplicity 2)
B2 0.0014 0.5000 0.5897 (multiplicity 2)
B3 0.1599 0.5000 0.3935 (multiplicity 2)
B4 0.3252 0.0000 0.7295 (multiplicity 2)
B5 0.4300 0.5000 0.3431 (multiplicity 2)
C1 0.1161 0.0000 0.1509 (multiplicity 2)
C2 0.1216 0.5000 0.6883 (multiplicity 2)
C3 0.1594 0.0000 0.8833 (multiplicity 2)
C4 0.2767 0.0000 0.0066 (multiplicity 2)
C5 0.2810 0.5000 0.4863 (multiplicity 2)
C6 0.3133 0.5000 0.1994 (multiplicity 2)
C7 0.4446 0.0000 0.8601 (multiplicity 2)

The value obtained for the volume is 6.62 Å³ per atom. The total moment comes out at 0.000 μB/atom. The density of states at the Fermi level is 2.78 states/eV/cell.

Model 2:
B5C7 | PBE | optimized geometry

abc: 2.6008 2.6008 16.4827
angles: 90.00 90.00 120.00
Space group P3m1 (No. 156)
Symmetry-distinct sites (fractional):
B1 0.0000 0.0000 0.0000 (multiplicity 1)
B2 0.0000 0.0000 0.3031 (multiplicity 1)
B3 0.3333 0.6667 0.4367 (multiplicity 1)
B4 0.6667 0.3333 0.2403 (multiplicity 1)
B5 0.6667 0.3333 0.5476 (multiplicity 1)
C1 0.0000 0.0000 0.3953 (multiplicity 1)
C2 0.0000 0.0000 0.7804 (multiplicity 1)
C3 0.3333 0.6667 0.0130 (multiplicity 1)
C4 0.3333 0.6667 0.1131 (multiplicity 1)
C5 0.3333 0.6667 0.5376 (multiplicity 1)
C6 0.6667 0.3333 0.1441 (multiplicity 1)
C7 0.6667 0.3333 0.7803 (multiplicity 1)

The value obtained for the volume is 8.05 Å³ per atom. The total moment comes out at 0.000 μB/atom. The density of states at the Fermi level is 2.43 states/eV/cell.

Of them, model 2 has the highest stability.

Model 1:
BC2 | PBE | optimized geometry

abc: 2.4652 2.5415 12.1913
angles: 90.00 90.00 90.00
Space group Imma (No. 74)
Symmetry-distinct sites (fractional):
B1 0.0000 0.2500 0.1947 (multiplicity 4)
C1 0.0000 0.2500 0.5389 (multiplicity 4)
C2 0.0000 0.2500 0.8901 (multiplicity 4)

The value obtained for the volume is 6.37 Å³ per atom. The total moment comes out at 0.000 μB/atom. The density of states at the Fermi level is 2.21 states/eV/cell.

Model 2:
BC2 | PBE | optimized geometry

abc: 2.6673 2.6673 8.0369
angles: 90.00 90.00 120.00
Space group P-3m1 (No. 164)
Symmetry-distinct sites (fractional):
B1 0.0000 0.0000 0.2416 (multiplicity 2)
C1 0.3333 0.6667 0.2651 (multiplicity 2)
C2 0.3333 0.6667 0.4679 (multiplicity 2)

The value obtained for the volume is 8.25 Å³ per atom. The total moment comes out at 0.000 μB/atom. The density of states at the Fermi level is 0.04 states/eV/cell.

Of them, model 1 has the highest stability.

Model 1:
CsSn3Sb3 | PBE | optimized geometry

abc: 8.4710 8.4710 8.4710
angles: 90.00 90.00 90.00
Space group Pm-3n (No. 223)
Symmetry-distinct sites (fractional):
Cs1 0.0000 0.0000 0.0000 (multiplicity 2)
Sn1 0.0000 0.2500 0.5000 (multiplicity 6)
Sb1 0.0000 0.5000 0.2500 (multiplicity 6)

The value obtained for the volume is 43.42 Å³ per atom. The total moment comes out at 0.000 μB/atom. The density of states at the Fermi level is 10.16 states/eV/cell.

Model 2:
CsSn3Sb3 | PBE | optimized geometry

abc: 10.4920 10.4920 6.1126
angles: 90.00 90.00 120.00
Space group P6_3/m (No. 176)
Symmetry-distinct sites (fractional):
Cs1 0.3333 0.6667 0.2500 (multiplicity 2)
Sn1 0.0176 0.2672 0.2500 (multiplicity 6)
Sb1 0.0278 0.3108 0.7500 (multiplicity 6)

The value obtained for the volume is 41.62 Å³ per atom. The total moment comes out at 0.000 μB/atom. The density of states at the Fermi level is 7.55 states/eV/cell.

Of them, model 1 has the highest stability.

Model 1:
AgAs2Os | PBE | optimized geometry

abc: 8.0224 3.1187 5.7045
angles: 90.00 100.30 90.00
Space group C2/m (No. 12)
Symmetry-distinct sites (fractional):
Ag1 0.0000 0.0000 0.0000 (multiplicity 2)
As1 0.2305 0.0000 0.7106 (multiplicity 4)
Os1 0.0000 0.5000 0.5000 (multiplicity 2)

The value obtained for the volume is 17.55 Å³ per atom. The total moment comes out at 0.000 μB/atom. The density of states at the Fermi level is 4.94 states/eV/cell.

Model 2:
AgAs2Os | PBE | optimized geometry

abc: 6.5047 6.5151 3.1321
angles: 90.00 90.00 90.00
Space group Cmmm (No. 65)
Symmetry-distinct sites (fractional):
Ag1 0.0000 0.0000 0.0000 (multiplicity 2)
As1 0.2500 0.2500 0.5000 (multiplicity 4)
Os1 0.0000 0.5000 0.0000 (multiplicity 2)

The value obtained for the volume is 16.59 Å³ per atom. The total moment comes out at 0.000 μB/atom. The density of states at the Fermi level is 6.73 states/eV/cell.

Of them, model 1 has the highest stability.

Model 1:
AlBiSe2 | PBE | optimized geometry

abc: 4.1245 4.1245 25.8743
angles: 90.00 90.00 120.00
Space group R-3m (No. 166, hexagonal axes)
Symmetry-distinct sites (fractional):
Al1 0.0000 0.0000 0.0000 (multiplicity 3)
Bi1 0.0000 0.0000 0.5000 (multiplicity 3)
Se1 0.0000 0.0000 0.0984 (multiplicity 6)

The value obtained for the volume is 31.77 Å³ per atom. The total moment comes out at 0.000 μB/atom. The density of states at the Fermi level is 2.50 states/eV/cell.

Model 2:
AlBiSe2 | PBE | optimized geometry

abc: 3.7012 3.7012 25.9798
angles: 90.00 90.00 120.00
Space group R-3m (No. 166, hexagonal axes)
Symmetry-distinct sites (fractional):
Al1 0.0000 0.0000 0.0000 (multiplicity 3)
Bi1 0.0000 0.0000 0.5000 (multiplicity 3)
Se1 0.0000 0.0000 0.3875 (multiplicity 6)

The value obtained for the volume is 25.68 Å³ per atom. The total moment comes out at 0.000 μB/atom. The density of states at the Fermi level is 1.64 states/eV/cell.

Of them, model 2 has the highest stability.

Model 1:
PtRh2Pb | PBE | optimized geometry

abc: 3.0833 3.7156 5.9494
angles: 90.00 90.00 90.00
Space group Pmmm (No. 47)
Symmetry-distinct sites (fractional):
Pt1 0.0000 0.0000 0.0000 (multiplicity 1)
Rh1 0.5000 0.5000 0.2260 (multiplicity 2)
Pb1 0.0000 0.0000 0.5000 (multiplicity 1)

The value obtained for the volume is 17.04 Å³ per atom. The total moment comes out at 0.000 μB/atom. The density of states at the Fermi level is 4.94 states/eV/cell.

Model 2:
PtRh2Pb | PBE | optimized geometry

abc: 6.4514 6.4514 6.4514
angles: 90.00 90.00 90.00
Space group Fm-3m (No. 225)
Symmetry-distinct sites (fractional):
Pt1 0.0000 0.0000 0.0000 (multiplicity 4)
Rh1 0.2500 0.2500 0.2500 (multiplicity 8)
Pb1 0.0000 0.0000 0.5000 (multiplicity 4)

The value obtained for the volume is 16.78 Å³ per atom. The total moment comes out at 0.000 μB/atom. The density of states at the Fermi level is 16.27 states/eV/cell.

Of them, model 2 has the highest stability.

Model 1:
ZrPbBr2 | PBE | optimized geometry

abc: 5.3728 5.3728 3.5237
angles: 90.00 90.00 90.00
Space group P4/mmm (No. 123)
Symmetry-distinct sites (fractional):
Zr1 0.0000 0.0000 0.0000 (multiplicity 1)
Pb1 0.5000 0.5000 0.0000 (multiplicity 1)
Br1 0.0000 0.5000 0.5000 (multiplicity 2)

The value obtained for the volume is 25.43 Å³ per atom. The total moment comes out at 0.415 μB/atom. The density of states at the Fermi level is 4.04 states/eV/cell.

Model 2:
ZrPbBr2 | PBE | optimized geometry

abc: 9.3060 9.3060 6.0114
angles: 90.00 90.00 90.00
Space group I-42d (No. 122)
Symmetry-distinct sites (fractional):
Zr1 0.0000 0.0000 0.0000 (multiplicity 4)
Pb1 0.0000 0.0000 0.5000 (multiplicity 4)
Br1 0.1279 0.2500 0.1250 (multiplicity 8)

The value obtained for the volume is 32.54 Å³ per atom. The total moment comes out at 0.000 μB/atom. The density of states at the Fermi level is 25.69 states/eV/cell.

Of them, model 2 has the highest stability.